[1]
# AlTlAsW2 (GGA-PBE, optimized geometry)
data_AlTlAsW2
_cell_length_a 4.714
_cell_length_b 4.755
_cell_length_c 4.714
_cell_angle_alpha 90.00
_cell_angle_beta 90.00
_cell_angle_gamma 90.00
_space_group_name_H-M_alt 'P 1'
_space_group_IT_number 1
loop_
_space_group_symop_operation_xyz
'x,y,z'
loop_
_atom_site_label
_atom_site_type_symbol
_atom_site_fract_x
_atom_site_fract_y
_atom_site_fract_z
Tl1 Tl 0.500 0.500 0.500
As1 As 0.000 0.000 0.000
W1 W 0.000 0.000 0.500
W2 W 0.500 0.000 0.000
Al1 Al 0.000 0.500 0.000
# Space group = No. 123

[2]
# UAlAs2 (GGA-PBE, optimized geometry)
data_UAlAs2
_cell_length_a 3.162
_cell_length_b 3.162
_cell_length_c 9.693
_cell_angle_alpha 80.61
_cell_angle_beta 80.61
_cell_angle_gamma 60.00
_space_group_name_H-M_alt 'P 1'
_space_group_IT_number 1
loop_
_space_group_symop_operation_xyz
'x,y,z'
loop_
_atom_site_label
_atom_site_type_symbol
_atom_site_fract_x
_atom_site_fract_y
_atom_site_fract_z
As1 As 0.102 0.102 0.693
As2 As 0.898 0.898 0.307
U1 U 0.000 0.000 0.000
Al1 Al 0.500 0.500 0.500
# Space group = No. 166

[3]
# UAlAs2 (GGA-PBE, optimized geometry)
data_UAlAs2
_cell_length_a 3.734
_cell_length_b 4.492
_cell_length_c 4.492
_cell_angle_alpha 90.00
_cell_angle_beta 90.00
_cell_angle_gamma 90.00
_space_group_name_H-M_alt 'P 1'
_space_group_IT_number 1
loop_
_space_group_symop_operation_xyz
'x,y,z'
loop_
_atom_site_label
_atom_site_type_symbol
_atom_site_fract_x
_atom_site_fract_y
_atom_site_fract_z
As1 As 0.000 0.000 0.500
As2 As 0.000 0.500 0.000
U1 U 0.500 0.500 0.500
Al1 Al 0.500 0.000 0.000
# Space group = No. 123

Formation energy list, top to bottom, in eV/atom: 1.41 0.21 -0.50
Energy list, top to bottom, in eV/cell: -29.6 -23.5 -26.3